i | ## LaSbHI2 (PBE)

Data for a geometry-optimized LaSbHI2 structure.

Unit cell a=6.3389 b=6.3389 c=6.5088 alpha=90.00 beta=90.00 gamma=90.00
Fractional coordinates of all 5 atoms:
La  0.0000  0.0000  0.0000
Sb  0.0000  0.0000  0.5000
H  0.5000  0.5000  0.5000
I  0.0000  0.5000  0.0000
I  0.5000  0.0000  0.0000

Computed properties:
Space group   P4/mmm, No. 123
Total moment   3.00 Bohr magnetons per cell
V   261.5 Å³/cell

---

ii | ## LaSbHI2 (PBE)

Data for a geometry-optimized LaSbHI2 structure.

Unit cell a=5.6572 b=5.6572 c=4.0925 alpha=90.00 beta=90.00 gamma=90.00
Fractional coordinates of all 5 atoms:
La  0.0000  0.0000  0.0000
Sb  0.5000  0.5000  0.0000
H  0.5000  0.5000  0.5000
I  0.0000  0.5000  0.5000
I  0.5000  0.0000  0.5000

Computed properties:
Space group   P4/mmm, No. 123
Total moment   0.00 Bohr magnetons per cell
V   131.0 Å³/cell

---

ii is the most stable structure; the next one sits 209 meV/atom above it.

---

i | ## LiHI (PBE)

Data for a geometry-optimized LiHI structure.

Unit cell a=8.0018 b=4.6534 c=9.1348 alpha=90.00 beta=91.96 gamma=90.00
Fractional coordinates of all 12 atoms:
Li  0.1642  0.0000  0.3828
Li  0.3358  0.5000  0.6172
Li  0.6642  0.5000  0.3828
Li  0.8358  0.0000  0.6172
H  0.0388  0.5000  0.0244
H  0.4612  0.0000  0.9756
H  0.5388  0.0000  0.0244
H  0.9612  0.5000  0.9756
I  0.1735  0.0000  0.6918
I  0.3265  0.5000  0.3082
I  0.6735  0.5000  0.6918
I  0.8265  0.0000  0.3082

Computed properties:
Space group   C2/m, No. 12
Total moment   0.00 Bohr magnetons per cell
V   339.9 Å³/cell

---

ii | ## LiHI (PBE)

Data for a geometry-optimized LiHI structure.

Unit cell a=4.6127 b=4.7868 c=8.5594 alpha=73.78 beta=89.22 gamma=89.93
Fractional coordinates of all 6 atoms:
Li  0.0000  0.0000  0.0000
Li  0.4969  0.4912  0.0168
H  0.2035  0.3242  0.5020
H  0.2055  0.1689  0.4988
I  0.0009  0.5851  0.8291
I  0.4965  0.9055  0.1880

Computed properties:
Space group   P1, No. 1
Total moment   0.00 Bohr magnetons per cell
V   181.5 Å³/cell

---

iii | ## LiHI (PBE)

Data for a geometry-optimized LiHI structure.

Unit cell a=4.5622 b=7.8717 c=9.1731 alpha=90.00 beta=119.35 gamma=90.00
Fractional coordinates of all 12 atoms:
Li  0.1274  0.2089  0.1326
Li  0.1274  0.2911  0.6326
Li  0.8726  0.7089  0.3674
Li  0.8726  0.7911  0.8674
H  0.0514  0.5232  0.0410
H  0.0514  0.9768  0.5410
H  0.9486  0.0232  0.4590
H  0.9486  0.4768  0.9590
I  0.2232  0.6480  0.7167
I  0.2232  0.8520  0.2167
I  0.7768  0.1480  0.7833
I  0.7768  0.3520  0.2833

Computed properties:
Space group   P2_1/c, No. 14
Total moment   0.00 Bohr magnetons per cell
V   287.1 Å³/cell

---

i is the most stable structure; the next one sits 8 meV/atom above it.

---

i | ## LiH2I2 (PBE)

Data for a geometry-optimized LiH2I2 structure.

Unit cell a=8.0251 b=8.0251 c=4.1037 alpha=90.00 beta=90.00 gamma=90.00
Fractional coordinates of all 10 atoms:
Li  0.0000  0.0000  0.0000
Li  0.5000  0.5000  0.0000
H  0.1910  0.3090  0.5000
H  0.3090  0.8090  0.5000
H  0.6910  0.1910  0.5000
H  0.8090  0.6910  0.5000
I  0.1899  0.3101  0.0000
I  0.3101  0.8101  0.0000
I  0.6899  0.1899  0.0000
I  0.8101  0.6899  0.0000

Computed properties:
Space group   P4/mbm, No. 127
Total moment   0.00 Bohr magnetons per cell
V   264.3 Å³/cell

---

ii | ## LiH2I2 (PBE)

Data for a geometry-optimized LiH2I2 structure.

Unit cell a=3.9141 b=3.9141 c=12.8134 alpha=90.00 beta=90.00 gamma=90.00
Fractional coordinates of all 10 atoms:
Li  0.0000  0.0000  0.0000
Li  0.5000  0.5000  0.5000
H  0.0000  0.5000  0.2500
H  0.0000  0.5000  0.7500
H  0.5000  0.0000  0.2500
H  0.5000  0.0000  0.7500
I  0.0000  0.0000  0.3543
I  0.0000  0.0000  0.6457
I  0.5000  0.5000  0.1457
I  0.5000  0.5000  0.8543

Computed properties:
Space group   I4/mmm, No. 139
Total moment   0.00 Bohr magnetons per cell
V   196.3 Å³/cell

---

iii | ## LiH2I2 (PBE)

Data for a geometry-optimized LiH2I2 structure.

Unit cell a=4.5444 b=7.7736 c=9.3065 alpha=90.00 beta=90.00 gamma=90.00
Fractional coordinates of all 10 atoms:
Li  0.0000  0.0000  0.0000
Li  0.5000  0.5000  0.5000
H  0.0826  0.0000  0.5000
H  0.4174  0.5000  0.0000
H  0.5826  0.5000  0.0000
H  0.9174  0.0000  0.5000
I  0.0000  0.5000  0.3251
I  0.0000  0.5000  0.6749
I  0.5000  0.0000  0.1749
I  0.5000  0.0000  0.8251

Computed properties:
Space group   Immm, No. 71
Total moment   1.98 Bohr magnetons per cell
V   328.8 Å³/cell

---

iii is the most stable structure; the next one sits 253 meV/atom above it.